# 1
The following is a DFT calculation (PBE) of a geometry-optimized CeHfAs2Rh5 structure.

Cell lengths 4.0757, 4.0757, 10.8109 Å; angles 90.00, 90.00, 90.00 degrees
With the nearest neighbours (Å) after each atom.
Space group P4/mmm (No. 123)
Symmetry-distinct sites (fractional):
Ce1 0.0000 0.0000 0.0000  4 Rh 2.88
Hf1 0.0000 0.0000 0.5000  8 Rh 2.70
As1 0.5000 0.5000 0.2213  5 Rh 2.39
Rh1 0.0000 0.5000 0.3366  2 As 2.39
Rh2 0.5000 0.5000 0.0000  2 As 2.39

Output
Volume ... 179.6 Å³/cell
Crystal system ... tetragonal
E_form ... -0.60 eV/atom
Raw total energy ... -67.37 eV for the cell shown


# 2
The following is a DFT calculation (PBE) of a geometry-optimized Ce2HfScAs4 structure.

Cell lengths 6.9745, 4.0286, 6.9792 Å; angles 90.00, 109.47, 90.00 degrees
With the nearest neighbours (Å) after each atom.
Space group P2/m (No. 10)
Symmetry-distinct sites (fractional):
Ce1 0.0000 0.0000 0.0000  6 As 2.94-2.95
Ce2 0.0000 0.5000 0.5000  6 As 2.93
Hf1 0.5000 0.0000 0.5000  6 As 2.76
Sc1 0.5000 0.5000 0.0000  6 As 2.77
As1 0.2724 0.0000 0.7557  1 Hf 2.76, 2 Sc 2.77, 3 Ce 2.93-2.95
As2 0.2730 0.5000 0.2590  2 Hf 2.76, 1 Sc 2.77, 3 Ce 2.93-2.94

Output
Volume ... 184.9 Å³/cell
Crystal system ... monoclinic
E_form ... -1.32 eV/atom
Raw total energy ... -57.30 eV for the cell shown


# 3
The following is a DFT calculation (PBE) of a geometry-optimized Sr3Ce2HfAs6 structure.

Cell lengths 7.3298, 12.7006, 7.5175 Å; angles 90.00, 109.03, 90.00 degrees
With the nearest neighbours (Å) after each atom.
Space group C2/m (No. 12)
Symmetry-distinct sites (fractional):
Sr1 0.0000 0.0000 0.0000  6 As 3.13-3.25
Sr2 0.0000 0.3310 0.0000  6 As 3.13-3.23
Ce1 0.0000 0.1662 0.5000  6 As 2.93
Hf1 0.0000 0.5000 0.5000  6 As 2.80
As1 0.2315 0.3403 0.7156  1 Hf 2.80, 2 Ce 2.93, 1 Sr 3.13
As2 0.2466 0.5000 0.2836  1 Hf 2.80, 2 Ce 2.93

Output
Volume ... 661.6 Å³/cell
Crystal system ... monoclinic
E_form ... -1.23 eV/atom
Raw total energy ... -139.07 eV for the cell shown


# 4
The following is a DFT calculation (PBE) of a geometry-optimized Sr3CeHf2As6 structure.

Cell lengths 7.1530, 12.3996, 7.4799 Å; angles 90.00, 108.66, 90.00 degrees
With the nearest neighbours (Å) after each atom.
Space group C2/m (No. 12)
Symmetry-distinct sites (fractional):
Sr1 0.0000 0.0000 0.0000  6 As 3.07-3.17
Sr2 0.0000 0.3362 0.0000  6 As 3.09-3.17
Ce1 0.0000 0.5000 0.5000  6 As 2.90
Hf1 0.0000 0.1673 0.5000  6 As 2.78
As1 0.2241 0.0000 0.7115  2 Hf 2.78, 1 Ce 2.90, 1 Sr 3.07
As2 0.2444 0.3268 0.7132  2 Hf 2.78, 1 Ce 2.90, 1 Sr 3.09

Output
Volume ... 628.5 Å³/cell
Crystal system ... monoclinic
E_form ... -1.17 eV/atom
Raw total energy ... -145.63 eV for the cell shown


# 5
The following is a DFT calculation (PBE) of a geometry-optimized Tb2CeHfAs4 structure.

Cell lengths 7.0488, 4.0707, 7.0494 Å; angles 90.00, 109.27, 90.00 degrees
With the nearest neighbours (Å) after each atom.
Space group P2/m (No. 10)
Symmetry-distinct sites (fractional):
Tb1 0.0000 0.0000 0.0000  6 As 2.96
Tb2 0.5000 0.5000 0.0000  6 As 2.87
Ce1 0.0000 0.5000 0.5000  6 As 2.89-2.90
Hf1 0.5000 0.0000 0.5000  6 As 2.79-2.80
As1 0.2601 0.0000 0.7450  1 Hf 2.79, 3 Tb 2.87-2.96, 2 Ce 2.90
As2 0.2650 0.5000 0.2630  2 Hf 2.80, 3 Tb 2.87-2.96, 1 Ce 2.89

Output
Volume ... 190.9 Å³/cell
Crystal system ... monoclinic
E_form ... -1.36 eV/atom
Raw total energy ... -54.62 eV for the cell shown


# 6
The following is a DFT calculation (PBE) of a geometry-optimized TbCe2HfAs4 structure.

Cell lengths 7.0854, 4.0872, 7.0915 Å; angles 90.00, 109.35, 90.00 degrees
With the nearest neighbours (Å) after each atom.
Space group P2/m (No. 10)
Symmetry-distinct sites (fractional):
Tb1 0.0000 0.0000 0.0000  6 As 2.88
Ce1 0.0000 0.5000 0.5000  6 As 3.00
Ce2 0.5000 0.0000 0.5000  6 As 2.91
Hf1 0.5000 0.5000 0.0000  6 As 2.78-2.80
As1 0.2566 0.5000 0.2381  1 Hf 2.78, 2 Tb 2.88, 3 Ce 2.91-3.00
As2 0.2658 0.0000 0.7685  2 Hf 2.80, 1 Tb 2.88, 3 Ce 2.91-3.00

Output
Volume ... 193.8 Å³/cell
Crystal system ... monoclinic
E_form ... -1.35 eV/atom
Raw total energy ... -55.83 eV for the cell shown


# 7
The following is a DFT calculation (PBE) of a geometry-optimized CeTm2HfAs4 structure.

Cell lengths 6.9803, 4.0352, 6.9888 Å; angles 90.00, 109.29, 90.00 degrees
With the nearest neighbours (Å) after each atom.
Space group P2/m (No. 10)
Symmetry-distinct sites (fractional):
Ce1 0.0000 0.0000 0.0000  6 As 2.88-2.89
Tm1 0.5000 0.0000 0.5000  6 As 2.82
Tm2 0.5000 0.5000 0.0000  6 As 2.91-2.92
Hf1 0.0000 0.5000 0.5000  6 As 2.79-2.80
As1 0.2425 0.0000 0.7369  2 Hf 2.80, 3 Tm 2.82-2.92, 1 Ce 2.88
As2 0.2508 0.5000 0.2619  1 Hf 2.79, 3 Tm 2.82-2.91, 2 Ce 2.89

Output
Volume ... 185.8 Å³/cell
Crystal system ... monoclinic
E_form ... -1.34 eV/atom
Raw total energy ... -54.11 eV for the cell shown


# 8
The following is a DFT calculation (PBE) of a geometry-optimized Ce2HfZrAs4 structure.

Cell lengths 6.9563, 4.0108, 6.9740 Å; angles 90.00, 109.37, 90.00 degrees
With the nearest neighbours (Å) after each atom.
Space group P2/m (No. 10)
Symmetry-distinct sites (fractional):
Ce1 0.0000 0.0000 0.0000  6 As 2.92
Ce2 0.5000 0.5000 0.0000  6 As 2.93-2.94
Hf1 0.0000 0.5000 0.5000  6 As 2.75
Zr1 0.5000 0.0000 0.5000  6 As 2.77
As1 0.2403 0.0000 0.7277  2 Hf 2.75, 1 Zr 2.77, 3 Ce 2.92-2.94
As2 0.2547 0.5000 0.2705  1 Hf 2.75, 2 Zr 2.77, 3 Ce 2.92-2.93

Output
Volume ... 183.6 Å³/cell
Crystal system ... monoclinic
E_form ... -1.27 eV/atom
Raw total energy ... -59.12 eV for the cell shown


# 9
The following is a DFT calculation (PBE) of a geometry-optimized Ce3HfZr2As6 structure.

Cell lengths 6.9580, 12.0532, 6.9762 Å; angles 90.00, 109.43, 90.00 degrees
With the nearest neighbours (Å) after each atom.
Space group C2/m (No. 12)
Symmetry-distinct sites (fractional):
Ce1 0.0000 0.0000 0.0000  6 As 2.92-2.94
Ce2 0.0000 0.3323 0.0000  6 As 2.92-2.93
Hf1 0.0000 0.5000 0.5000  6 As 2.75
Zr1 0.0000 0.1663 0.5000  6 As 2.77-2.78
As1 0.2416 0.3346 0.7291  1 Hf 2.75, 2 Zr 2.77-2.78, 3 Ce 2.92-2.93
As2 0.2464 0.0000 0.7303  1 Hf 2.75, 2 Zr 2.78, 3 Ce 2.92-2.94

Output
Volume ... 551.8 Å³/cell
Crystal system ... monoclinic
E_form ... -1.28 eV/atom
Raw total energy ... -176.23 eV for the cell shown


# 10
The following is a DFT calculation (PBE) of a geometry-optimized Ce3Hf2ZrAs6 structure.

Cell lengths 6.9461, 12.0325, 6.9665 Å; angles 90.00, 109.42, 90.00 degrees
With the nearest neighbours (Å) after each atom.
Space group C2/m (No. 12)
Symmetry-distinct sites (fractional):
Ce1 0.0000 0.0000 0.0000  6 As 2.91-2.93
Ce2 0.0000 0.3344 0.0000  6 As 2.92-2.93
Hf1 0.0000 0.1670 0.5000  6 As 2.75
Zr1 0.0000 0.5000 0.5000  6 As 2.77-2.78
As1 0.2396 0.0000 0.7273  2 Hf 2.75, 1 Zr 2.77, 3 Ce 2.91-2.93
As2 0.2442 0.3320 0.7284  2 Hf 2.75, 1 Zr 2.78, 3 Ce 2.92-2.93

Output
Volume ... 549.1 Å³/cell
Crystal system ... monoclinic
E_form ... -1.26 eV/atom
Raw total energy ... -178.51 eV for the cell shown


# 11
The following is a DFT calculation (PBE) of a geometry-optimized CeHgAs2O8 structure.

Cell lengths 5.7128, 5.7128, 6.7813 Å; angles 90.00, 90.00, 120.00 degrees
With the nearest neighbours (Å) after each atom.
Space group P-3m1 (No. 164)
Symmetry-distinct sites (fractional):
Ce1 0.0000 0.0000 0.0000  6 O 2.24
Hg1 0.0000 0.0000 0.5000  6 O 2.55
As1 0.3333 0.6667 0.6830  4 O 1.66-1.75
O1 0.1705 0.3410 0.7821  1 As 1.75
O2 0.3333 0.6667 0.4378  1 As 1.66

Output
Volume ... 191.7 Å³/cell
Crystal system ... trigonal
Formation energy (no corrections) ... -1.508 eV/atom
Raw total energy ... -73.29 eV for the cell shown


# 12
The following is a DFT calculation (PBE) of a geometry-optimized Ce2HgAs3Rh4 structure.

Cell lengths 4.0717, 4.0717, 11.3941 Å; angles 90.00, 90.00, 90.00 degrees
With the nearest neighbours (Å) after each atom.
Space group P-4m2 (No. 115)
Symmetry-distinct sites (fractional):
Ce1 0.0000 0.5000 0.2458  4 Rh 3.05, 4 As 3.19
Hg1 0.0000 0.0000 0.5000  4 Rh 2.78, 4 As 2.88
As1 0.0000 0.5000 0.8749  5 Rh 2.37-2.49
As2 0.5000 0.5000 0.5000  4 Rh 2.78, 4 Hg 2.88
Rh1 0.0000 0.0000 0.0000  4 As 2.49
Rh2 0.0000 0.5000 0.6665  1 As 2.37
Rh3 0.5000 0.5000 0.0000  4 As 2.49

Output
Volume ... 188.9 Å³/cell
Crystal system ... tetragonal
E_form ... -0.77 eV/atom
Raw total energy ... -63.22 eV for the cell shown